1.
NaCaMgGa | GGA-PBE | relaxed

Values from the calculation:
The value obtained for the formation energy is -0.16 eV per atom. The value obtained for the uncorrected energy is -8.6 eV for the cell shown.

a = 5.135 Å, b = 5.135 Å, c = 5.135 Å
α = 60.00°, β = 60.00°, γ = 60.00°
Positions (direct):
Mg: 0.500 0.500 0.500
Ca: 0.000 0.000 0.000
Na: 0.750 0.750 0.750
Ga: 0.250 0.250 0.250


2.
K5CdCl8 | GGA-PBE | relaxed

Values from the calculation:
The value obtained for the energy relative to the elements, uncorrected is -1.5232 eV/atom. The value obtained for the uncorrected energy is -42.5 eV for the cell shown. Its energy above the most stable polymorph in this dataset is 17 meV/atom.

a = 8.974 Å, b = 8.974 Å, c = 8.974 Å
α = 60.00°, β = 60.00°, γ = 60.00°
Last column: magnetic moment on the atom in μB.
Positions (direct):
K: 0.623 0.623 0.132  0.00
K: 0.000 0.000 0.000  0.00
K: 0.623 0.623 0.623  0.00
K: 0.132 0.623 0.623  0.00
K: 0.623 0.132 0.623  0.00
Cl: 0.863 0.410 0.863  0.20
Cl: 0.863 0.863 0.863  0.20
Cl: 0.410 0.863 0.863  0.20
Cl: 0.366 0.903 0.366  0.05
Cl: 0.863 0.863 0.410  0.20
Cl: 0.366 0.366 0.366  0.05
Cl: 0.366 0.366 0.903  0.05
Cl: 0.903 0.366 0.366  0.05
Cd: 0.250 0.250 0.250  0.00


3.
Li2MgAg2 | GGA-PBE | relaxed

Values from the calculation:
The value obtained for the formation energy is -0.16 eV per atom. The value obtained for the uncorrected energy is -23.9 eV for the cell shown. Its energy above the most stable polymorph in this dataset is 11 meV/atom.

a = 7.510 Å, b = 7.510 Å, c = 3.018 Å
α = 90.00°, β = 90.00°, γ = 90.00°
Positions (direct):
Ag: 0.827 0.327 0.500
Ag: 0.673 0.827 0.500
Ag: 0.327 0.173 0.500
Ag: 0.173 0.673 0.500
Li: 0.124 0.376 0.000
Li: 0.376 0.876 0.000
Li: 0.876 0.624 0.000
Li: 0.624 0.124 0.000
Mg: 0.500 0.500 0.000
Mg: 0.000 0.000 0.000


4.
BaCuAsBr2 | GGA-PBE | relaxed

Values from the calculation:
The value obtained for the energy relative to the elements, uncorrected is 0.0584 eV/atom. The value obtained for the uncorrected energy is -13.7 eV for the cell shown. Its energy above the most stable polymorph in this dataset is 771 meV/atom.

a = 6.224 Å, b = 6.224 Å, c = 6.684 Å
α = 90.00°, β = 90.00°, γ = 90.00°
Last column: magnetic moment on the atom in μB.
Positions (direct):
Br: 0.000 0.500 0.000  0.03
Br: 0.500 0.000 0.000  0.03
As: 0.000 0.000 0.500  0.95
Ba: 0.000 0.000 0.000  0.03
Cu: 0.500 0.500 0.500  -0.07


5.
CdPAu | GGA-PBE | relaxed

Values from the calculation:
The value obtained for the formation energy is 0.01 eV per atom. The value obtained for the uncorrected energy is -38.2 eV for the cell shown.

a = 4.490 Å, b = 8.108 Å, c = 7.207 Å
α = 90.00°, β = 90.00°, γ = 90.00°
Positions (direct):
Au: 0.750 0.284 0.178
Au: 0.250 0.716 0.822
Au: 0.250 0.216 0.678
Au: 0.750 0.784 0.322
Cd: 0.750 0.961 0.694
Cd: 0.250 0.539 0.194
Cd: 0.750 0.461 0.806
Cd: 0.250 0.039 0.306
P: 0.250 0.247 0.035
P: 0.750 0.753 0.965
P: 0.250 0.747 0.465
P: 0.750 0.253 0.535


6.
K2Pu3AgO12 | GGA-PBE | relaxed

Values from the calculation:
The value obtained for the energy relative to the elements, uncorrected is -2.0649 eV/atom. The value obtained for the uncorrected energy is -144.7 eV for the cell shown.

a = 7.389 Å, b = 7.389 Å, c = 7.389 Å
α = 65.69°, β = 65.69°, γ = 65.69°
Last column: magnetic moment on the atom in μB.
Positions (direct):
O: 0.702 0.702 0.084  -0.10
O: 0.384 0.897 0.897  -0.08
O: 0.084 0.702 0.702  -0.10
O: 0.897 0.897 0.384  -0.08
O: 0.702 0.084 0.702  -0.10
O: 0.103 0.616 0.103  -0.08
O: 0.298 0.298 0.916  -0.10
O: 0.616 0.103 0.103  -0.08
O: 0.897 0.384 0.897  -0.08
O: 0.916 0.298 0.298  -0.10
O: 0.103 0.103 0.616  -0.08
O: 0.298 0.916 0.298  -0.10
Pu: 0.000 0.000 0.500  1.39
Pu: 0.000 0.500 0.000  1.39
Pu: 0.500 0.000 0.000  1.39
K: 0.374 0.374 0.374  0.00
K: 0.626 0.626 0.626  0.00
Ag: 0.000 0.000 0.000  -0.04


7.
Tb2FeH | GGA-PBE | relaxed

Values from the calculation:
The value obtained for the uncorrected energy is -20.8 eV for the cell shown. Its energy above the most stable polymorph in this dataset is 0 meV/atom.

a = 3.196 Å, b = 3.196 Å, c = 6.931 Å
α = 90.00°, β = 90.00°, γ = 90.00°
Positions (direct):
H: 0.500 0.500 0.500
Tb: 0.000 0.000 0.242
Tb: 0.000 0.000 0.758
Fe: 0.500 0.500 0.000


8.
TlAg2TePt | GGA-PBE | relaxed

Values from the calculation:
The value obtained for the energy relative to the elements, uncorrected is 0.8108 eV/atom. The value obtained for the uncorrected energy is -13.2 eV for the cell shown.

a = 5.230 Å, b = 5.113 Å, c = 5.230 Å
α = 90.00°, β = 90.00°, γ = 90.00°
Positions (direct):
Ag: 0.500 0.000 0.000
Ag: 0.000 0.000 0.500
Te: 0.500 0.500 0.500
Tl: 0.000 0.000 0.000
Pt: 0.000 0.500 0.000


9.
Ac8NiPd2 | GGA-PBE | relaxed

Values from the calculation:
The value obtained for the formation energy is -0.22 eV per atom. The value obtained for the uncorrected energy is -51.5 eV for the cell shown.

a = 6.955 Å, b = 8.115 Å, c = 8.114 Å
α = 107.60°, β = 102.24°, γ = 102.24°
Positions (direct):
Pd: 0.483 0.318 0.688
Pd: 0.483 0.688 0.318
Ni: 0.250 0.010 0.010
Ac: 0.973 0.839 0.168
Ac: 0.779 0.631 0.632
Ac: 0.973 0.168 0.839
Ac: 0.334 0.646 0.923
Ac: 0.603 0.080 0.357
Ac: 0.334 0.923 0.646
Ac: 0.184 0.372 0.372
Ac: 0.603 0.357 0.080


10.
BaErCdAg | GGA-PBE | relaxed

Values from the calculation:
The value obtained for the formation energy is -0.12 eV per atom. The value obtained for the uncorrected energy is -10.7 eV for the cell shown.

a = 5.544 Å, b = 5.544 Å, c = 5.544 Å
α = 60.00°, β = 60.00°, γ = 60.00°
Positions (direct):
Er: 0.500 0.500 0.500
Ag: 0.250 0.250 0.250
Cd: 0.750 0.750 0.750
Ba: 0.000 0.000 0.000


11.
Tb3ScIn2 | GGA-PBE | relaxed

Values from the calculation:
The value obtained for the formation energy is -0.32 eV per atom. The value obtained for the uncorrected energy is -27.6 eV for the cell shown. Its energy above the most stable polymorph in this dataset is 0 meV/atom.

a = 4.435 Å, b = 4.856 Å, c = 7.969 Å
α = 107.74°, β = 90.00°, γ = 90.00°
Positions (direct):
In: 0.000 0.652 0.305
In: 0.000 0.348 0.695
Tb: 0.500 0.500 0.000
Tb: 0.500 0.829 0.658
Tb: 0.500 0.171 0.342
Sc: 0.000 0.000 0.000


12.
Zr2MnCl | GGA-PBE | relaxed

Values from the calculation:
The value obtained for the energy relative to the elements, uncorrected is 0.1587 eV/atom. The value obtained for the uncorrected energy is -27.5 eV for the cell shown. Its energy above the most stable polymorph in this dataset is 668 meV/atom.

a = 4.691 Å, b = 4.691 Å, c = 4.691 Å
α = 60.00°, β = 60.00°, γ = 60.00°
Last column: magnetic moment on the atom in μB.
Positions (direct):
Cl: 0.000 0.000 0.000  0.06
Zr: 0.750 0.750 0.750  -0.19
Zr: 0.250 0.250 0.250  -0.19
Mn: 0.500 0.500 0.500  2.24


13.
Mg2PBr | GGA-PBE | relaxed

Values from the calculation:
The value obtained for the energy relative to the elements, uncorrected is -0.5080 eV/atom. The value obtained for the uncorrected energy is -12.3 eV for the cell shown. Its energy above the most stable polymorph in this dataset is 387 meV/atom.

a = 5.507 Å, b = 5.507 Å, c = 5.507 Å
α = 139.16°, β = 97.66°, γ = 96.32°
Positions (direct):
Mg: 0.037 0.037 0.000
Mg: 0.463 0.463 0.000
Br: 0.750 0.250 0.500
P: 0.250 0.750 0.500


14.
TlP4Se | GGA-PBE | relaxed

Values from the calculation:
The value obtained for the energy relative to the elements, uncorrected is 0.2533 eV/atom. The value obtained for the uncorrected energy is -26.0 eV for the cell shown.

a = 6.034 Å, b = 6.034 Å, c = 6.034 Å
α = 60.00°, β = 60.00°, γ = 60.00°
Last column: magnetic moment on the atom in μB.
Positions (direct):
Tl: 0.000 0.000 0.000  0.00
P: 0.408 0.775 0.408  0.03
P: 0.408 0.408 0.408  0.03
P: 0.775 0.408 0.408  0.03
P: 0.408 0.408 0.775  0.03
Se: 0.750 0.750 0.750  0.53


15.
Ta2InAs | GGA-PBE | relaxed

Values from the calculation:
The value obtained for the formation energy is 0.15 eV per atom. The value obtained for the uncorrected energy is -30.5 eV for the cell shown. Its energy above the most stable polymorph in this dataset is 177 meV/atom.

a = 5.288 Å, b = 5.288 Å, c = 4.759 Å
α = 76.77°, β = 76.77°, γ = 35.33°
Positions (direct):
Ta: 0.985 0.985 0.050
Ta: 0.780 0.780 0.679
As: 0.498 0.498 0.567
In: 0.238 0.238 0.204


16.
KYCl2 | GGA-PBE | relaxed

Values from the calculation:
The value obtained for the energy relative to the elements, uncorrected is -0.4141 eV/atom. The value obtained for the uncorrected energy is -12.9 eV for the cell shown. Its energy above the most stable polymorph in this dataset is 1061 meV/atom.

a = 5.464 Å, b = 5.464 Å, c = 5.464 Å
α = 60.00°, β = 60.00°, γ = 60.00°
Last column: magnetic moment on the atom in μB.
Positions (direct):
Cl: 0.250 0.250 0.250  0.02
Cl: 0.000 0.000 0.000  0.00
K: 0.500 0.500 0.500  0.07
Y: 0.750 0.750 0.750  0.88


17.
Rb2ZrAsSe4 | GGA-PBE | relaxed

Values from the calculation:
The value obtained for the energy relative to the elements, uncorrected is -0.8305 eV/atom. The value obtained for the uncorrected energy is -71.4 eV for the cell shown.

a = 5.664 Å, b = 8.253 Å, c = 13.559 Å
α = 85.89°, β = 77.94°, γ = 69.93°
Positions (direct):
As: 0.250 0.500 0.500
As: 0.500 0.000 0.000
Rb: 0.575 0.500 0.849
Rb: 0.925 0.500 0.151
Rb: 0.175 0.000 0.651
Rb: 0.825 0.000 0.349
Zr: 0.000 0.000 0.000
Zr: 0.750 0.500 0.500
Se: 0.147 0.289 0.383
Se: 0.818 0.711 0.617
Se: 0.932 0.789 0.883
Se: 0.185 0.211 0.883
Se: 0.565 0.289 0.617
Se: 0.279 0.789 0.117
Se: 0.603 0.211 0.117
Se: 0.471 0.711 0.383


18.
HgAsBr2 | GGA-PBE | relaxed

Values from the calculation:
The value obtained for the energy relative to the elements, uncorrected is -0.0519 eV/atom. The value obtained for the uncorrected energy is -8.5 eV for the cell shown. Its energy above the most stable polymorph in this dataset is 74 meV/atom.

a = 6.794 Å, b = 6.794 Å, c = 6.794 Å
α = 147.82°, β = 121.65°, γ = 68.22°
Positions (direct):
Hg: 0.750 0.250 0.500
Br: 0.085 0.085 0.000
Br: 0.415 0.415 0.000
As: 0.250 0.750 0.500


19.
ZrSbTe2Ir | GGA-PBE | relaxed

Values from the calculation:
The value obtained for the energy relative to the elements, uncorrected is 0.4902 eV/atom. The value obtained for the uncorrected energy is -25.4 eV for the cell shown. Its energy above the most stable polymorph in this dataset is 0 meV/atom.

a = 5.259 Å, b = 5.259 Å, c = 5.044 Å
α = 90.00°, β = 90.00°, γ = 90.00°
Positions (direct):
Ir: 0.000 0.000 0.000
Te: 0.500 0.000 0.000
Te: 0.000 0.500 0.000
Sb: 0.000 0.000 0.500
Zr: 0.500 0.500 0.500


20.
Na2Sm3ScSe6 | GGA-PBE | relaxed

Values from the calculation:
The value obtained for the energy relative to the elements, uncorrected is -1.6792 eV/atom. The value obtained for the uncorrected energy is -64.2 eV for the cell shown.

a = 7.179 Å, b = 7.179 Å, c = 7.106 Å
α = 99.71°, β = 99.71°, γ = 119.90°
Positions (direct):
Sc: 0.000 0.000 0.000
Se: 0.238 0.238 0.753
Se: 0.080 0.401 0.240
Se: 0.762 0.762 0.247
Se: 0.401 0.080 0.240
Se: 0.920 0.599 0.760
Se: 0.599 0.920 0.760
Sm: 0.829 0.171 0.500
Sm: 0.500 0.500 0.500
Sm: 0.171 0.829 0.500
Na: 0.665 0.335 0.000
Na: 0.335 0.665 0.000


21.
Sc2CdNi | GGA-PBE | relaxed

Values from the calculation:
The value obtained for the formation energy is -0.40 eV per atom. The value obtained for the uncorrected energy is -21.0 eV for the cell shown.

a = 3.255 Å, b = 3.255 Å, c = 7.195 Å
α = 90.00°, β = 90.00°, γ = 89.99°
Positions (direct):
Sc: 0.000 0.000 0.960
Sc: 0.000 0.000 0.540
Ni: 0.500 0.500 0.750
Cd: 0.500 0.500 0.250


22.
TlHgB2F8 | GGA-PBE | relaxed

Values from the calculation:
The value obtained for the energy relative to the elements, uncorrected is -2.4152 eV/atom. The value obtained for the uncorrected energy is -60.0 eV for the cell shown.

a = 5.396 Å, b = 5.396 Å, c = 8.458 Å
α = 71.40°, β = 71.40°, γ = 60.00°
Last column: magnetic moment on the atom in μB.
Positions (direct):
F: 0.187 0.187 0.440  0.00
F: 0.483 0.321 0.200  0.03
F: 0.995 0.483 0.200  0.03
F: 0.321 0.995 0.200  0.03
F: 0.517 0.679 0.800  0.03
F: 0.813 0.813 0.560  0.00
F: 0.005 0.517 0.800  0.03
F: 0.679 0.005 0.800  0.03
Tl: 0.500 0.500 0.500  0.00
B: 0.753 0.753 0.740  0.00
B: 0.247 0.247 0.260  0.00
Hg: 0.000 0.000 0.000  0.55


23.
GaFeHg2Cl | GGA-PBE | relaxed

Values from the calculation:
The value obtained for the energy relative to the elements, uncorrected is 0.5366 eV/atom. The value obtained for the uncorrected energy is -11.3 eV for the cell shown.

a = 5.984 Å, b = 4.158 Å, c = 5.984 Å
α = 90.00°, β = 90.00°, γ = 90.00°
Last column: magnetic moment on the atom in μB.
Positions (direct):
Hg: 0.000 0.000 0.500  0.00
Hg: 0.500 0.000 0.000  -0.01
Fe: 0.000 0.500 0.000  2.62
Cl: 0.000 0.000 0.000  0.07
Ga: 0.500 0.500 0.500  -0.07


24.
PmP3 | GGA-PBE | relaxed

Values from the calculation:
The value obtained for the formation energy is -0.30 eV per atom. The value obtained for the uncorrected energy is -22.2 eV for the cell shown. Its energy above the most stable polymorph in this dataset is 271 meV/atom.

a = 5.538 Å, b = 5.538 Å, c = 5.538 Å
α = 137.86°, β = 137.86°, γ = 61.12°
Positions (direct):
P: 0.750 0.250 0.500
P: 0.250 0.750 0.500
P: 0.500 0.500 0.000
Pm: 0.000 0.000 0.000


25.
Er4Tm5Pb2 | GGA-PBE | relaxed

Values from the calculation:
The value obtained for the formation energy is 0.25 eV per atom. The value obtained for the uncorrected energy is -45.3 eV for the cell shown.

a = 5.129 Å, b = 5.129 Å, c = 16.679 Å
α = 81.16°, β = 81.16°, γ = 60.00°
Positions (direct):
Tm: 0.206 0.206 0.381
Tm: 0.794 0.794 0.619
Tm: 0.500 0.500 0.500
Tm: 0.351 0.351 0.946
Tm: 0.649 0.649 0.054
Er: 0.575 0.575 0.276
Er: 0.279 0.279 0.163
Er: 0.425 0.425 0.724
Er: 0.721 0.721 0.837
Pb: 0.865 0.865 0.405
Pb: 0.135 0.135 0.595